VASP calculation (PBE-GGA) on a relaxed PuPt2Rh crystal.

```
data_PuPt2Rh
_symmetry_space_group_name_H-M 'P 4/m m m'
_symmetry_Int_Tables_number 123
_symmetry_space_group_name_Hall '-P 4 2'
_cell_length_a 4.040
_cell_length_b 4.040
_cell_length_c 4.260
_cell_angle_alpha 90.00
_cell_angle_beta 90.00
_cell_angle_gamma 90.00
loop_
_atom_site_label
_atom_site_fract_x
_atom_site_fract_y
_atom_site_fract_z
Pu1 0.000 0.000 0.000
Pt1 0.000 0.500 0.500
Rh1 0.500 0.500 0.000
```

Final energy (eV per formula unit): -36.3
Volume (Å³ per cell): 69.5
Calculated formation energy (eV/f.u.): -2.53
Excess energy over the best structure of this formula in the dataset (meV/atom): 0.0
Size of the total moment (μB/f.u.): 3.64